a | ! PBE LiYAuO, relaxed; values from VASP
! **Volume**: 164.9 Å³/cell
! **Magnetization**: 0.01 Bohr magnetons per cell
! **Symmetry**: P-3m1
&SYSTEM
  ibrav = 0, nat = 8, ntyp = 4
/
ATOMIC_SPECIES
O 16.00 O.upf
Y 88.91 Y.upf
Au 196.97 Au.upf
Li 6.94 Li.upf
CELL_PARAMETERS angstrom
-1.995 2.216 1.466
1.030 -2.675 1.681
13.791 8.772 5.506
ATOMIC_POSITIONS crystal
O 0.667 0.333 0.067
Y 0.000 0.000 0.000
Au 0.333 0.667 0.805
Li 0.667 0.333 0.339
Y 0.000 0.000 0.500
Au 0.667 0.333 0.196
Li 0.333 0.667 0.661
O 0.333 0.667 0.933

---

b | ! PBE LiYAuO, relaxed; values from VASP
! **Volume**: 133.6 Å³/cell
! **Magnetization**: 0.11 Bohr magnetons per cell
! **Symmetry**: P-6m2
&SYSTEM
  ibrav = 0, nat = 8, ntyp = 4
/
ATOMIC_SPECIES
Au 196.97 Au.upf
Li 6.94 Li.upf
O 16.00 O.upf
Y 88.91 Y.upf
CELL_PARAMETERS angstrom
-1.555 0.181 2.902
-1.737 -0.019 -2.803
-0.682 -14.157 0.519
ATOMIC_POSITIONS crystal
Au 0.667 0.333 0.500
Li 0.000 0.000 0.826
Li 0.000 0.000 0.174
Au 0.000 0.000 0.000
O 0.667 0.333 0.759
Y 0.333 0.667 0.661
Y 0.333 0.667 0.339
O 0.667 0.333 0.241

---

Most stable structure: b

---

a | ! PBE LiPdAu, relaxed; values from VASP
! **Volume**: 93.5 Å³/cell
! **Symmetry**: C2
&SYSTEM
  ibrav = 0, nat = 6, ntyp = 3
/
ATOMIC_SPECIES
Pd 106.42 Pd.upf
Au 196.97 Au.upf
Li 6.94 Li.upf
CELL_PARAMETERS angstrom
-3.018 -0.630 -3.769
-1.657 -0.518 4.550
0.602 4.830 -0.164
ATOMIC_POSITIONS crystal
Pd 0.968 0.032 0.500
Au 0.637 0.363 0.500
Li 0.131 0.869 0.000
Pd 0.300 0.700 0.500
Au 0.461 0.539 0.000
Li 0.798 0.202 0.000

---

b | ! PBE LiPdAu, relaxed; values from VASP
! **Volume**: 48.3 Å³/cell
! **Symmetry**: F-43m
&SYSTEM
  ibrav = 0, nat = 3, ntyp = 3
/
ATOMIC_SPECIES
Pd 106.42 Pd.upf
Au 196.97 Au.upf
Li 6.94 Li.upf
CELL_PARAMETERS angstrom
0.000 2.890 2.890
2.890 0.000 2.890
2.890 2.890 0.000
ATOMIC_POSITIONS crystal
Pd 0.750 0.750 0.750
Au 0.250 0.250 0.250
Li 0.000 0.000 0.000

---

Most stable structure: a

---

a | ! PBE LiScPtAu, relaxed; values from VASP
! **Volume**: 67.4 Å³/cell
! **Magnetization**: 0.00 Bohr magnetons per cell
! **Symmetry**: F-43m
&SYSTEM
  ibrav = 0, nat = 4, ntyp = 4
/
ATOMIC_SPECIES
Pt 195.08 Pt.upf
Sc 44.96 Sc.upf
Li 6.94 Li.upf
Au 196.97 Au.upf
CELL_PARAMETERS angstrom
0.000 3.229 3.229
3.229 0.000 3.229
3.229 3.229 0.000
ATOMIC_POSITIONS crystal
Pt 0.500 0.500 0.500
Sc 0.250 0.250 0.250
Li 0.750 0.750 0.750
Au 0.000 0.000 0.000

---

b | ! PBE LiScPtAu, relaxed; values from VASP
! **Volume**: 67.7 Å³/cell
! **Magnetization**: 0.01 Bohr magnetons per cell
! **Symmetry**: F-43m
&SYSTEM
  ibrav = 0, nat = 4, ntyp = 4
/
ATOMIC_SPECIES
Au 196.97 Au.upf
Li 6.94 Li.upf
Pt 195.08 Pt.upf
Sc 44.96 Sc.upf
CELL_PARAMETERS angstrom
0.000 3.235 3.235
3.235 0.000 3.235
3.235 3.235 0.000
ATOMIC_POSITIONS crystal
Au 0.000 0.000 0.000
Li 0.750 0.750 0.750
Pt 0.250 0.250 0.250
Sc 0.500 0.500 0.500

---

Most stable structure: a

---

a | ! PBE LiSnAu3S4, relaxed; values from VASP
! **Volume**: 205.2 Å³/cell
! **Symmetry**: P-43m
&SYSTEM
  ibrav = 0, nat = 9, ntyp = 4
/
ATOMIC_SPECIES
S 32.06 S.upf
Au 196.97 Au.upf
Li 6.94 Li.upf
Sn 118.71 Sn.upf
CELL_PARAMETERS angstrom
-5.633 1.005 1.431
-1.228 -5.710 -0.824
1.245 -1.085 5.663
ATOMIC_POSITIONS crystal
S 0.237 0.237 0.237
S 0.763 0.237 0.763
S 0.237 0.763 0.763
Au 0.000 0.500 0.500
Li 0.000 0.000 0.000
Sn 0.500 0.500 0.500
S 0.763 0.763 0.237
Au 0.500 0.000 0.500
Au 0.500 0.500 0.000

---

b | ! PBE LiSnAu3S4, relaxed; values from VASP
! **Volume**: 406.2 Å³/cell
! **Symmetry**: P2_1/m
&SYSTEM
  ibrav = 0, nat = 18, ntyp = 4
/
ATOMIC_SPECIES
S 32.06 S.upf
Li 6.94 Li.upf
Au 196.97 Au.upf
Sn 118.71 Sn.upf
CELL_PARAMETERS angstrom
-0.944 1.754 5.133
2.191 -7.176 2.855
8.739 2.825 0.393
ATOMIC_POSITIONS crystal
S 0.488 0.994 0.282
Li 0.244 0.750 0.738
S 0.488 0.506 0.282
S 0.512 0.494 0.718
S 0.104 0.250 0.443
Au 0.259 0.750 0.421
Au 0.211 0.923 0.087
S 0.896 0.750 0.557
Sn 0.222 0.250 0.708
Au 0.789 0.423 0.913
S 0.945 0.750 0.937
Au 0.741 0.250 0.579
S 0.512 0.006 0.718
S 0.055 0.250 0.063
Au 0.789 0.077 0.913
Li 0.756 0.250 0.262
Sn 0.778 0.750 0.292
Au 0.211 0.577 0.087

---

Most stable structure: b

---

a | ! PBE LiZrAuS3, relaxed; values from VASP
! **Volume**: 247.1 Å³/cell
! **Magnetization**: 0.00 Bohr magnetons per cell
! **Symmetry**: P2_1/m
&SYSTEM
  ibrav = 0, nat = 12, ntyp = 4
/
ATOMIC_SPECIES
S 32.06 S.upf
Li 6.94 Li.upf
Zr 91.22 Zr.upf
Au 196.97 Au.upf
CELL_PARAMETERS angstrom
7.913 0.000 0.000
0.000 3.713 0.000
-2.112 0.000 8.409
ATOMIC_POSITIONS crystal
S 0.607 0.750 0.847
Li 0.166 0.250 0.693
S 0.831 0.250 0.532
Zr 0.182 0.750 0.171
Zr 0.818 0.250 0.829
S 0.931 0.250 0.141
Li 0.834 0.750 0.307
Au 0.630 0.750 0.545
S 0.169 0.750 0.468
S 0.069 0.750 0.859
Au 0.370 0.250 0.455
S 0.393 0.250 0.153

---

b | ! PBE LiZrAuS3, relaxed; values from VASP
! **Volume**: 245.2 Å³/cell
! **Magnetization**: 0.01 Bohr magnetons per cell
! **Symmetry**: Cmcm
&SYSTEM
  ibrav = 0, nat = 12, ntyp = 4
/
ATOMIC_SPECIES
S 32.06 S.upf
Li 6.94 Li.upf
Au 196.97 Au.upf
Zr 91.22 Zr.upf
CELL_PARAMETERS angstrom
-0.008 6.577 1.839
-3.302 5.181 2.983
4.070 -2.438 8.740
ATOMIC_POSITIONS crystal
S 0.637 0.637 0.517
Li 0.685 0.685 0.250
Au 0.639 0.639 0.750
Zr 0.000 0.000 0.500
S 0.943 0.943 0.750
S 0.363 0.363 0.017
S 0.057 0.057 0.250
S 0.637 0.637 0.983
Zr 0.000 0.000 0.000
Li 0.315 0.315 0.750
Au 0.361 0.361 0.250
S 0.363 0.363 0.483

---

c | ! PBE LiZrAuS3, relaxed; values from VASP
! **Volume**: 522.3 Å³/cell
! **Magnetization**: 0.02 Bohr magnetons per cell
! **Symmetry**: Pnma
&SYSTEM
  ibrav = 0, nat = 24, ntyp = 4
/
ATOMIC_SPECIES
S 32.06 S.upf
Zr 91.22 Zr.upf
Au 196.97 Au.upf
Li 6.94 Li.upf
CELL_PARAMETERS angstrom
13.373 0.000 0.000
0.000 3.699 0.000
0.000 0.000 10.558
ATOMIC_POSITIONS crystal
S 0.112 0.750 0.029
S 0.589 0.250 0.748
Zr 0.971 0.750 0.836
Au 0.094 0.250 0.532
S 0.159 0.250 0.328
Li 0.734 0.250 0.600
Zr 0.471 0.750 0.664
S 0.888 0.250 0.971
S 0.659 0.250 0.172
Au 0.406 0.750 0.032
Li 0.766 0.750 0.100
S 0.341 0.750 0.828
S 0.612 0.750 0.471
Li 0.266 0.750 0.400
Zr 0.029 0.250 0.164
S 0.388 0.250 0.529
S 0.841 0.750 0.672
Au 0.906 0.750 0.468
S 0.911 0.750 0.248
Zr 0.529 0.250 0.336
S 0.411 0.750 0.252
Li 0.234 0.250 0.900
Au 0.594 0.250 0.968
S 0.089 0.250 0.752

---

Most stable structure: c

---

a | ! PBE LiZrAu3S4, relaxed; values from VASP
! **Volume**: 426.9 Å³/cell
! **Magnetization**: 0.01 Bohr magnetons per cell
! **Symmetry**: P2_1/m
&SYSTEM
  ibrav = 0, nat = 18, ntyp = 4
/
ATOMIC_SPECIES
S 32.06 S.upf
Au 196.97 Au.upf
Zr 91.22 Zr.upf
Li 6.94 Li.upf
CELL_PARAMETERS angstrom
-2.486 3.423 -3.767
-7.288 -0.914 3.978
2.053 6.965 5.361
ATOMIC_POSITIONS crystal
S 0.970 0.750 0.498
Au 0.684 0.075 0.090
Zr 0.843 0.750 0.749
Au 0.684 0.425 0.090
Au 0.316 0.575 0.910
S 0.587 0.990 0.725
S 0.976 0.250 0.984
Au 0.349 0.750 0.617
S 0.413 0.490 0.275
Au 0.651 0.250 0.383
S 0.024 0.750 0.016
S 0.587 0.510 0.725
Li 0.193 0.750 0.275
Au 0.316 0.925 0.910
Zr 0.157 0.250 0.251
S 0.413 0.010 0.275
Li 0.807 0.250 0.725
S 0.030 0.250 0.502

---

b | ! PBE LiZrAu3S4, relaxed; values from VASP
! **Volume**: 211.0 Å³/cell
! **Magnetization**: 0.00 Bohr magnetons per cell
! **Symmetry**: P-43m
&SYSTEM
  ibrav = 0, nat = 9, ntyp = 4
/
ATOMIC_SPECIES
Au 196.97 Au.upf
S 32.06 S.upf
Zr 91.22 Zr.upf
Li 6.94 Li.upf
CELL_PARAMETERS angstrom
5.953 0.000 0.000
0.000 5.953 0.000
0.000 0.000 5.953
ATOMIC_POSITIONS crystal
Au 0.000 0.500 0.500
Au 0.500 0.000 0.500
S 0.258 0.258 0.258
Zr 0.500 0.500 0.500
S 0.742 0.742 0.258
Li 0.000 0.000 0.000
S 0.742 0.258 0.742
Au 0.500 0.500 0.000
S 0.258 0.742 0.742

---

Most stable structure: b

---

a | ! PBE LiSbAu, relaxed; values from VASP
! **Volume**: 122.6 Å³/cell
! **Symmetry**: P6_3/mmc
&SYSTEM
  ibrav = 0, nat = 6, ntyp = 3
/
ATOMIC_SPECIES
Au 196.97 Au.upf
Li 6.94 Li.upf
Sb 121.76 Sb.upf
CELL_PARAMETERS angstrom
4.725 0.000 0.000
-2.363 4.092 0.000
0.000 0.000 6.337
ATOMIC_POSITIONS crystal
Au 0.333 0.667 0.250
Li 0.000 0.000 0.500
Sb 0.333 0.667 0.750
Sb 0.667 0.333 0.250
Au 0.667 0.333 0.750
Li 0.000 0.000 0.000

---

b | ! PBE LiSbAu, relaxed; values from VASP
! **Volume**: 187.6 Å³/cell
! **Symmetry**: P-62m
&SYSTEM
  ibrav = 0, nat = 9, ntyp = 3
/
ATOMIC_SPECIES
Au 196.97 Au.upf
Li 6.94 Li.upf
Sb 121.76 Sb.upf
CELL_PARAMETERS angstrom
-6.383 1.283 -3.867
5.690 -3.804 -3.240
-1.435 -3.247 1.291
ATOMIC_POSITIONS crystal
Au 0.667 0.333 0.000
Au 0.333 0.667 0.000
Li 0.000 0.621 0.500
Sb 0.716 0.716 0.000
Au 0.000 0.000 0.500
Li 0.621 0.000 0.500
Li 0.379 0.379 0.500
Sb 0.000 0.284 0.000
Sb 0.284 0.000 0.000

---

Most stable structure: b

---

a | ! PBE LiSbAu, relaxed; values from VASP
! **Volume**: 175.9 Å³/cell
! **Symmetry**: P-62m
&SYSTEM
  ibrav = 0, nat = 9, ntyp = 3
/
ATOMIC_SPECIES
Au 196.97 Au.upf
Sb 121.76 Sb.upf
Li 6.94 Li.upf
CELL_PARAMETERS angstrom
7.757 0.000 0.000
-3.879 6.718 0.000
0.000 0.000 3.375
ATOMIC_POSITIONS crystal
Au 0.633 0.000 0.500
Au 0.367 0.367 0.500
Sb 0.000 0.000 0.500
Li 0.711 0.711 0.000
Sb 0.333 0.667 0.000
Li 0.289 0.000 0.000
Li 0.000 0.289 0.000
Sb 0.667 0.333 0.000
Au 0.000 0.633 0.500

---

b | ! PBE LiSbAu, relaxed; values from VASP
! **Volume**: 128.5 Å³/cell
! **Symmetry**: P6_3mc
&SYSTEM
  ibrav = 0, nat = 6, ntyp = 3
/
ATOMIC_SPECIES
Au 196.97 Au.upf
Sb 121.76 Sb.upf
Li 6.94 Li.upf
CELL_PARAMETERS angstrom
4.508 0.000 0.000
-2.254 3.904 0.000
0.000 0.000 7.300
ATOMIC_POSITIONS crystal
Au 0.667 0.333 0.575
Au 0.333 0.667 0.075
Sb 0.667 0.333 0.953
Li 0.000 0.000 0.722
Sb 0.333 0.667 0.453
Li 0.000 0.000 0.222

---

Most stable structure: b

---

a | ! PBE LiSbAu, relaxed; values from VASP
! **Volume**: 256.8 Å³/cell
! **Symmetry**: Pnma
&SYSTEM
  ibrav = 0, nat = 12, ntyp = 3
/
ATOMIC_SPECIES
Sb 121.76 Sb.upf
Au 196.97 Au.upf
Li 6.94 Li.upf
CELL_PARAMETERS angstrom
6.754 0.000 0.000
0.000 4.682 0.000
0.000 0.000 8.120
ATOMIC_POSITIONS crystal
Sb 0.197 0.250 0.357
Au 0.717 0.750 0.971
Au 0.283 0.250 0.029
Li 0.448 0.250 0.660
Li 0.052 0.750 0.160
Au 0.217 0.750 0.529
Sb 0.303 0.750 0.857
Au 0.783 0.250 0.471
Li 0.948 0.250 0.840
Sb 0.697 0.250 0.143
Li 0.552 0.750 0.340
Sb 0.803 0.750 0.643

---

b | ! PBE LiSbAu, relaxed; values from VASP
! **Volume**: 240.0 Å³/cell
! **Symmetry**: Pnma
&SYSTEM
  ibrav = 0, nat = 12, ntyp = 3
/
ATOMIC_SPECIES
Au 196.97 Au.upf
Li 6.94 Li.upf
Sb 121.76 Sb.upf
CELL_PARAMETERS angstrom
-4.317 -0.155 -2.846
1.434 -3.948 -1.960
-4.564 -5.237 7.207
ATOMIC_POSITIONS crystal
Au 0.330 0.750 0.025
Li 0.198 0.250 0.846
Sb 0.166 0.250 0.152
Au 0.170 0.250 0.525
Li 0.698 0.250 0.654
Sb 0.334 0.750 0.652
Sb 0.666 0.250 0.348
Sb 0.834 0.750 0.848
Au 0.830 0.750 0.475
Au 0.670 0.250 0.975
Li 0.802 0.750 0.154
Li 0.302 0.750 0.346

---

Most stable structure: a

---

a | ! PBE LiSbAu, relaxed; values from VASP
! **Volume**: 65.9 Å³/cell
! **Symmetry**: F-43m
&SYSTEM
  ibrav = 0, nat = 3, ntyp = 3
/
ATOMIC_SPECIES
Sb 121.76 Sb.upf
Li 6.94 Li.upf
Au 196.97 Au.upf
CELL_PARAMETERS angstrom
3.206 -3.206 0.000
-3.206 0.000 -3.206
3.206 3.206 0.000
ATOMIC_POSITIONS crystal
Sb 0.750 0.500 0.250
Li 0.000 0.000 0.000
Au 0.500 0.000 0.500

---

b | ! PBE LiSbAu, relaxed; values from VASP
! **Volume**: 193.9 Å³/cell
! **Symmetry**: P-62m
&SYSTEM
  ibrav = 0, nat = 9, ntyp = 3
/
ATOMIC_SPECIES
Au 196.97 Au.upf
Sb 121.76 Sb.upf
Li 6.94 Li.upf
CELL_PARAMETERS angstrom
7.154 0.000 0.000
-3.577 6.196 0.000
0.000 0.000 4.373
ATOMIC_POSITIONS crystal
Au 0.252 0.000 0.000
Au 0.000 0.252 0.000
Sb 0.333 0.667 0.000
Li 0.565 0.000 0.500
Li 0.000 0.565 0.500
Sb 0.000 0.000 0.500
Au 0.748 0.748 0.000
Li 0.435 0.435 0.500
Sb 0.667 0.333 0.000

---

Most stable structure: a